# MnBi2H | the Alexandria database | PBE-GGA | relaxed
# * raw total energy: -4.23 eV per atom
data_MnBi2H
_cell_length_a 6.5167
_cell_length_b 6.5167
_cell_length_c 7.2527
_cell_angle_alpha 90.00
_cell_angle_beta 90.00
_cell_angle_gamma 90.00
_space_group_name_H-M_alt 'I -4 2 d'
_space_group_IT_number 122
_space_group_name_Hall 'I -4 2bw'
loop_
_atom_site_label
_atom_site_fract_x
_atom_site_fract_y
_atom_site_fract_z
_atom_site_occupancy
Mn1 0.0000 0.0000 0.0000 1
Bi1 0.2010 0.2500 0.6250 1
H1 0.0000 0.0000 0.5000 1



# MnBiHN2 | the Alexandria database | PBE-GGA | relaxed
# * raw total energy: -5.95 eV per atom
data_MnBiHN2
_cell_length_a 3.5366
_cell_length_b 3.5366
_cell_length_c 5.6055
_cell_angle_alpha 90.00
_cell_angle_beta 90.00
_cell_angle_gamma 90.00
_space_group_name_H-M_alt 'P 4/m m m'
_space_group_IT_number 123
_space_group_name_Hall '-P 4 2'
loop_
_atom_site_label
_atom_site_fract_x
_atom_site_fract_y
_atom_site_fract_z
_atom_site_occupancy
Mn1 0.0000 0.0000 0.0000 1
Bi1 0.0000 0.0000 0.5000 1
H1 0.5000 0.5000 0.5000 1
N1 0.0000 0.5000 0.0000 1



| no. | total magnetic moment (μB/f.u.) |
| --- | --- |
| 1 | 0.11 |
| 2 | 0.00 |